TlPbC2O6 after structural relaxation, computed with PBE.

Unit cell a=6.899 b=6.899 c=6.785 alpha=100.69 beta=100.69 gamma=98.37
Atoms (fractional coordinates):
Tl 0.121 0.879 0.750
Tl 0.879 0.121 0.250
Pb 0.366 0.634 0.250
Pb 0.634 0.366 0.750
C 0.128 0.375 0.772
C 0.375 0.128 0.272
C 0.625 0.872 0.728
C 0.872 0.625 0.228
O 0.048 0.685 0.349
O 0.183 0.560 0.878
O 0.255 0.255 0.294
O 0.255 0.255 0.794
O 0.315 0.952 0.151
O 0.440 0.817 0.622
O 0.560 0.183 0.378
O 0.685 0.048 0.849
O 0.745 0.745 0.206
O 0.745 0.745 0.706
O 0.817 0.440 0.122
O 0.952 0.315 0.651

Computed properties:
**Total magnetic moment**: 0.00 μB per cell
**Calculated volume**: 306.4 Å³/cell
**Formation energy from raw total energies**: -12.08 eV/f.u.
**Electronic total energy**: -6.63 eV/atom
**SG**: C2/c